(1)
DFT (PBE) results for a relaxed structure of La6TmSe8.

```
La6TmSe8
1.0
0.000 6.065 6.065
6.065 0.000 6.065
6.065 6.065 0.000
La Tm Se
6 1 8
Cartesian
3.032 3.032 0.000
3.032 0.000 3.032
6.065 3.032 3.032
0.000 3.032 3.032
3.032 6.065 3.032
3.032 3.032 6.065
0.000 0.000 0.000
6.065 6.065 2.892
6.065 2.892 6.065
9.238 6.065 6.065
3.032 3.032 3.032
9.097 9.097 9.097
2.892 6.065 6.065
6.065 9.238 6.065
6.065 6.065 9.238
```

Total DFT energy (no corrections) ... -6.12 eV per atom
ΔE_f (raw) ... -1.9883 eV/atom

***

(2)
DFT (PBE) results for a relaxed structure of LaTmSe2.

```
LaTmSe2
1.0
2.146 1.239 8.822
-2.146 1.239 8.822
0.000 -2.478 8.822
La Tm Se
1 1 2
Cartesian
0.000 0.000 0.000
0.000 0.000 13.233
0.000 0.000 10.498
0.000 0.000 15.967
```

Total DFT energy (no corrections) ... -5.46 eV per atom
ΔE_f (raw) ... -1.3641 eV/atom
Polymorph energy (0 for the lowest one) ... 480 meV/atom

***

(3)
DFT (PBE) results for a relaxed structure of LaTm2Se3.

```
LaTm2Se3
1.0
-2.036 2.926 6.228
2.036 -2.926 6.228
2.036 2.926 -6.228
La Tm Se
1 2 3
Cartesian
0.000 0.000 0.000
0.000 0.000 4.251
0.000 0.000 8.204
2.036 0.000 2.266
0.000 2.926 0.000
0.000 2.926 3.961
```

Total DFT energy (no corrections) ... -5.81 eV per atom
ΔE_f (raw) ... -1.7566 eV/atom

***

(4)
DFT (PBE) results for a relaxed structure of La2TmSe4.

```
La2TmSe4
1.0
2.013 -7.128 0.000
2.013 7.128 0.000
0.000 0.000 14.188
La Tm Se
4 2 8
Cartesian
2.013 5.273 8.145
2.013 5.273 13.136
2.013 -5.273 1.052
2.013 -5.273 6.042
2.013 1.838 10.641
2.013 -1.838 3.547
2.013 6.935 10.641
2.013 4.030 1.808
2.013 4.030 5.285
2.013 0.000 0.000
2.013 0.000 7.094
2.013 -4.030 8.902
2.013 -4.030 12.379
2.013 -6.935 3.547
```

Total DFT energy (no corrections) ... -5.91 eV per atom
ΔE_f (raw) ... -1.8695 eV/atom